Computed, not measured: an optimized crystal structure of Sr2TaTl at the PBE-GGA level of DFT.

The space group is Cm (No. 8) and the conventional cell measures 12.7349, 3.4332 and 6.0485 Å, with angles of 90.00, 109.67 and 90.00 degrees. The asymmetric unit holds Sr at (0.0000, 0.0000, 0.0000), Sr at (0.1962, 0.0000, 0.6224), Ta at (0.4337, 0.0000, 0.4549) and Tl at (0.2547, 0.5000, 0.1560).

The formation energy is 0.528 eV/atom. The energy relative to the lowest polymorph listed for this composition is 0 meV per atom. The value obtained for the calculated density is 7476 kg/m³.